Tb3Dy12Hg5 | Alexandria via LeMat-Bulk | PBE | optimized geometry; formation energy = 7.676 eV/f.u.; E = -3.15 eV/atom
1.0
15.6273 0.0000 0.0000
-5.2091 14.7336 0.0000
-5.2091 -7.3668 12.7596
Tb Hg Dy
12 20 48
direct
0.7500 0.3750 0.1250
0.8750 0.7500 0.1250
0.3750 0.7500 0.6250
0.2500 0.1250 0.3750
0.8750 0.1250 0.2500
0.3750 0.6250 0.2500
0.6250 0.3750 0.7500
0.1250 0.8750 0.7500
0.7500 0.8750 0.6250
0.6250 0.2500 0.3750
0.1250 0.2500 0.8750
0.2500 0.6250 0.8750
0.1250 0.3750 0.2500
0.0000 0.5000 0.0000
0.0000 0.0000 0.0000
0.3750 0.2500 0.1250
0.5000 0.0000 0.5000
0.5000 0.5000 0.0000
0.1250 0.7500 0.3750
0.7500 0.1250 0.8750
0.7500 0.6250 0.3750
0.3750 0.1250 0.7500
0.6250 0.8750 0.2500
0.5000 0.5000 0.5000
0.5000 0.0000 0.0000
0.0000 0.0000 0.5000
0.2500 0.3750 0.6250
0.2500 0.8750 0.1250
0.0000 0.5000 0.5000
0.8750 0.2500 0.6250
0.6250 0.7500 0.8750
0.8750 0.6250 0.7500
0.7187 0.1280 0.0527
0.3340 0.5527 0.4247
0.9473 0.3720 0.2813
0.5527 0.2187 0.1280
0.5907 0.7187 0.6660
0.9473 0.5753 0.1660
0.3340 0.7813 0.4093
0.0753 0.9093 0.1280
0.5753 0.9473 0.6660
0.7187 0.5907 0.1660
0.7813 0.4473 0.3720
0.8340 0.9247 0.0527
0.1280 0.7187 0.5527
0.3720 0.4247 0.0907
0.0907 0.9247 0.3720
0.4093 0.1280 0.5753
0.0907 0.1660 0.2187
0.4473 0.6660 0.0753
0.8340 0.9093 0.2813
0.1280 0.4093 0.0753
0.3720 0.9473 0.7813
0.5753 0.6280 0.4093
0.9247 0.8340 0.5527
0.7813 0.3340 0.9093
0.4247 0.3720 0.5907
0.0753 0.1660 0.4473
0.2187 0.6660 0.0907
0.1660 0.0907 0.7187
0.6280 0.0527 0.2187
0.8720 0.5907 0.9247
0.5527 0.3340 0.9247
0.5907 0.8720 0.4247
0.9093 0.8340 0.7813
0.9093 0.0753 0.6280
0.8720 0.2813 0.4473
0.1660 0.0753 0.9473
0.6280 0.5753 0.9093
0.4247 0.0527 0.3340
0.2813 0.4093 0.8340
0.2187 0.5527 0.6280
0.9247 0.0907 0.8720
0.6660 0.2187 0.5907
0.4473 0.7813 0.8720
0.0527 0.4247 0.8340
0.4093 0.2813 0.3340
0.0527 0.6280 0.7187
0.6660 0.4473 0.5753
0.2813 0.8720 0.9473

Tb2Dy2Hg3 | Alexandria via LeMat-Bulk | PBE | optimized geometry; formation energy = -2.229 eV/f.u.; E = -3.09 eV/atom
1.0
5.0068 -0.0126 -1.3894
-2.7089 4.4519 -0.0019
-0.1850 -0.1104 8.9481
Tb Dy Hg
2 2 3
direct
0.2561 0.1278 0.3823
0.7439 0.8722 0.6177
0.7588 0.3794 0.1367
0.2412 0.6206 0.8633
0.0000 0.0000 0.0000
0.4973 0.2484 0.7473
0.5027 0.7516 0.2527

TbDy2Hg6 | Alexandria via LeMat-Bulk | PBE | optimized geometry; formation energy = -3.595 eV/f.u.; E = -2.14 eV/atom
1.0
5.3992 0.1701 0.5765
0.7311 8.9605 2.2868
0.2822 -0.4345 9.2621
Tb Dy Hg
2 4 12
direct
0.2500 0.1256 0.8744
0.7500 0.8744 0.1256
0.4161 0.5414 0.7919
0.0839 0.2081 0.4586
0.5839 0.4586 0.2081
0.9161 0.7919 0.5414
0.4706 0.6800 0.4304
0.0294 0.5696 0.3200
0.5294 0.3200 0.5696
0.9706 0.4304 0.6800
0.6380 0.0973 0.3478
0.8620 0.6522 0.9027
0.3620 0.9027 0.6522
0.1380 0.3478 0.0973
0.3041 0.7628 0.0138
0.1959 0.9862 0.2372
0.6959 0.2372 0.9862
0.8041 0.0138 0.7628

Tb3DyHg3 | Alexandria via LeMat-Bulk | PBE | optimized geometry; formation energy = -1.998 eV/f.u.; E = -3.06 eV/atom
1.0
-2.2735 -0.1146 -4.6195
-4.7365 -7.6181 2.5202
-3.5983 8.4520 1.5612
Tb Dy Hg
6 2 6
direct
0.7500 0.7634 0.7538
0.7500 0.2462 0.0096
0.7500 0.9904 0.2366
0.2500 0.2366 0.2462
0.2500 0.7538 0.9904
0.2500 0.0096 0.7634
0.2500 0.6667 0.3333
0.7500 0.3333 0.6667
0.2500 0.5573 0.6114
0.2500 0.3886 0.9459
0.2500 0.0541 0.4427
0.7500 0.4427 0.3886
0.7500 0.6114 0.0541
0.7500 0.9459 0.5573

Tb2DyHg6 | Alexandria via LeMat-Bulk | PBE | optimized geometry; formation energy = -3.616 eV/f.u.; E = -2.14 eV/atom
1.0
5.4050 0.1700 0.5768
0.7329 8.9731 2.2894
0.2833 -0.4357 9.2750
Tb Dy Hg
4 2 12
direct
0.4165 0.5412 0.7922
0.0835 0.2078 0.4588
0.5835 0.4588 0.2078
0.9165 0.7922 0.5412
0.2500 0.1252 0.8748
0.7500 0.8748 0.1252
0.4708 0.6810 0.4299
0.0292 0.5701 0.3190
0.5292 0.3190 0.5701
0.9708 0.4299 0.6810
0.6378 0.0964 0.3465
0.8622 0.6535 0.9036
0.3622 0.9036 0.6535
0.1378 0.3465 0.0964
0.3040 0.7643 0.0140
0.1960 0.9860 0.2357
0.6960 0.2357 0.9860
0.8040 0.0140 0.7643

TbDyHg4 | Alexandria via LeMat-Bulk | PBE | optimized geometry; relative energy among the computed polymorphs = 1.20 eV per formula unit; formation energy = -1.196 eV/f.u.; E = -1.94 eV/atom
1.0
-4.1387 0.9347 4.1704
1.1312 -1.3801 5.6754
0.7503 4.3215 4.0195
Tb Hg Dy
1 4 1
direct
0.2500 0.2500 0.2500
0.6250 0.6250 0.1250
0.6250 0.1250 0.6250
0.6250 0.6250 0.6250
0.1250 0.6250 0.6250
0.0000 0.0000 0.0000

TbDyHg3 | Alexandria via LeMat-Bulk | PBE | optimized geometry; relative energy among the computed polymorphs = 2.23 eV per formula unit; formation energy = 0.262 eV/f.u.; E = -1.98 eV/atom
1.0
-3.1106 -0.5147 4.7599
1.4150 -5.5216 0.3276
9.4836 5.5824 3.3770
Tb Dy Hg
2 2 6
direct
0.0000 0.0000 0.0000
0.2500 0.7500 0.5000
0.6641 0.1641 0.3283
0.8359 0.3359 0.6717
0.6237 0.8785 0.7569
0.1215 0.8668 0.2431
0.1215 0.3763 0.2431
0.1332 0.8785 0.7569
0.2865 0.2865 0.5731
0.7135 0.7135 0.4269

Tb2Dy6Hg | Alexandria via LeMat-Bulk | PBE | optimized geometry; formation energy = 0.303 eV/f.u.; E = -4.10 eV/atom
1.0
3.5273 0.0000 0.2806
0.0000 9.3020 0.0000
-0.6890 -4.6510 8.6159
Tb Dy Hg
2 6 1
direct
0.4993 0.6815 0.3630
0.5007 0.3185 0.6370
0.9997 0.3382 0.3235
0.0003 0.0148 0.6765
0.0003 0.6618 0.6765
0.5000 0.2946 0.0000
0.9997 0.9852 0.3235
0.5000 0.7054 0.0000
0.0000 0.0000 0.0000

TbDy5Hg2 | Alexandria via LeMat-Bulk | PBE | optimized geometry; formation energy = -1.272 eV/f.u.; E = -3.69 eV/atom
1.0
3.6710 0.0000 0.0000
1.8355 8.0062 -0.5071
1.8355 1.9251 7.7878
Tb Dy Hg
1 5 2
direct
0.0000 0.0000 0.0000
0.0000 0.5000 0.5000
0.6365 0.5876 0.1394
0.3635 0.4124 0.8606
0.3635 0.8606 0.4124
0.6365 0.1394 0.5876
0.7342 0.7658 0.7658
0.2658 0.2342 0.2342

Tb5Dy3Hg2 | Alexandria via LeMat-Bulk | PBE | optimized geometry; formation energy = 0.621 eV/f.u.; E = -3.69 eV/atom
1.0
6.8038 0.0000 0.0000
3.4019 9.6398 -1.0429
3.4019 1.5526 9.5709
Tb Dy Hg
10 6 4
direct
0.2500 0.5000 0.5000
0.7500 0.5000 0.5000
0.5278 0.7222 0.7222
0.9722 0.2778 0.2778
0.4722 0.2778 0.2778
0.0278 0.7222 0.7222
0.0756 0.6144 0.2344
0.9244 0.3856 0.7656
0.5756 0.2344 0.6144
0.4244 0.7656 0.3856
0.2500 0.0000 0.0000
0.7500 0.0000 0.0000
0.3352 0.3884 0.9412
0.6648 0.6116 0.0588
0.8352 0.9412 0.3884
0.1648 0.0588 0.6116
0.1414 0.7480 0.9691
0.8586 0.2520 0.0309
0.6414 0.9691 0.7480
0.3586 0.0309 0.2520

Tb4DyHg2 | Alexandria via LeMat-Bulk | PBE | optimized geometry; formation energy = 0.247 eV/f.u.; E = -3.35 eV/atom
1.0
5.0909 0.0000 0.0000
2.5454 4.4088 0.0000
2.5454 1.4696 10.0836
Tb Dy Hg
4 1 2
direct
0.7037 0.7037 0.8890
0.8920 0.8920 0.3240
0.2963 0.2963 0.1110
0.1080 0.1080 0.6760
0.5000 0.5000 0.5000
0.6007 0.6007 0.1978
0.3993 0.3993 0.8022

Tb6DyHg2 | Alexandria via LeMat-Bulk | PBE | optimized geometry; formation energy = -1.892 eV/f.u.; E = -3.88 eV/atom
1.0
-3.5608 -1.1198 -0.1395
-2.4142 0.6887 6.0831
-5.2313 10.4182 -0.1066
Tb Dy Hg
6 1 2
direct
0.6879 0.5004 0.1238
0.3121 0.4996 0.8762
0.3113 0.7914 0.5861
0.9830 0.6960 0.3380
0.0170 0.3040 0.6620
0.6887 0.2086 0.4139
0.0000 0.0000 0.0000
0.3577 0.0806 0.2040
0.6423 0.9194 0.7960